1.
## BaHfGa2Si (PBE)

Data for BaHfGa2Si after structural relaxation.

Results
E_form (uncorrected)   -0.13 eV/atom
VASP energy   -4.8046 eV/atom
Crystal system   tetragonal

Cell lengths 5.258, 5.258, 5.138 Å; angles 90.00, 90.00, 90.00 degrees
Atoms (fractional coordinates):
Ba 0.000 0.000 0.000
Hf 0.500 0.500 0.500
Ga 0.000 0.500 0.500
Ga 0.500 0.000 0.500
Si 0.500 0.500 0.000

2.
## CoW2Au (PBE)

Data for CoW2Au after structural relaxation.

Results
VASP energy   -8.7003 eV/atom
Crystal system   monoclinic

Cell lengths 4.899, 4.899, 4.597 Å; angles 101.70, 101.70, 34.44 degrees
Atoms (fractional coordinates):
Co 0.000 0.000 0.000
W 0.256 0.256 0.763
W 0.744 0.744 0.237
Au 0.500 0.500 0.500

| no. | density (Mg/m³) |
| --- | --- |
| 1 | 5.650 |
| 2 | 16.983 |